(1)
Below is a geometry-optimized NaHoFeS3 structure, with properties calculated at the PBE level.

abc: 7.882 3.851 9.256
angles: 90.00 103.79 90.00
Last column: magnetic moment on the atom in μB.
Atoms (fractional coordinates):
1 S 0.565 0.250 0.348  0.02
2 S 0.221 0.750 0.038  0.16
3 S 0.921 0.750 0.663  0.11
4 S 0.079 0.250 0.337  0.11
5 S 0.779 0.250 0.962  0.16
6 S 0.435 0.750 0.652  0.02
7 Ho 0.674 0.250 0.647  0.05
8 Ho 0.326 0.750 0.353  0.05
9 Fe 0.927 0.750 0.911  3.10
10 Fe 0.073 0.250 0.089  3.10
11 Na 0.785 0.750 0.254  0.00
12 Na 0.215 0.250 0.746  0.00

Summary:
The electronic total energy is -5.71 eV per atom.


(2)
Below is a geometry-optimized NaHoFeS3 structure, with properties calculated at the PBE level.

abc: 13.275 3.848 10.633
angles: 90.00 90.00 90.00
Last column: magnetic moment on the atom in μB.
Atoms (fractional coordinates):
1 S 0.870 0.250 0.265  0.11
2 S 0.609 0.250 0.435  0.02
3 S 0.593 0.750 0.110  0.17
4 S 0.407 0.250 0.890  0.17
5 S 0.370 0.250 0.235  0.11
6 S 0.109 0.250 0.065  0.02
7 S 0.391 0.750 0.565  0.02
8 S 0.130 0.750 0.735  0.11
9 S 0.630 0.750 0.765  0.11
10 S 0.907 0.250 0.610  0.16
11 S 0.093 0.750 0.390  0.16
12 S 0.891 0.750 0.935  0.02
13 Fe 0.509 0.750 0.916  3.12
14 Fe 0.991 0.250 0.416  3.12
15 Fe 0.009 0.750 0.584  3.12
16 Fe 0.491 0.250 0.084  3.12
17 Ho 0.487 0.750 0.342  0.05
18 Ho 0.987 0.750 0.158  0.05
19 Ho 0.513 0.250 0.658  0.05
20 Ho 0.013 0.250 0.842  0.05
21 Na 0.768 0.750 0.444  0.00
22 Na 0.268 0.750 0.056  0.00
23 Na 0.232 0.250 0.556  0.00
24 Na 0.732 0.250 0.944  0.00

Summary:
The electronic total energy is -5.71 eV per atom.


(3)
Below is a geometry-optimized NaHoFeSe3 structure, with properties calculated at the PBE level.

abc: 8.168 4.169 16.076
angles: 90.00 90.00 90.00
Last column: magnetic moment on the atom in μB.
Atoms (fractional coordinates):
1 Na 0.924 0.750 0.785  0.00
2 Na 0.076 0.250 0.215  0.00
3 Na 0.424 0.750 0.715  0.00
4 Na 0.576 0.250 0.285  0.00
5 Ho 0.748 0.750 0.045  0.07
6 Ho 0.252 0.250 0.955  0.07
7 Ho 0.752 0.250 0.545  0.07
8 Ho 0.248 0.750 0.455  0.07
9 Se 0.006 0.250 0.409  0.11
10 Se 0.808 0.750 0.217  0.15
11 Se 0.506 0.250 0.091  0.11
12 Se 0.192 0.250 0.783  0.15
13 Se 0.125 0.750 0.059  0.10
14 Se 0.875 0.250 0.941  0.10
15 Se 0.308 0.750 0.283  0.15
16 Se 0.994 0.750 0.591  0.11
17 Se 0.494 0.750 0.909  0.11
18 Se 0.625 0.750 0.441  0.10
19 Se 0.692 0.250 0.717  0.15
20 Se 0.375 0.250 0.559  0.10
21 Fe 0.622 0.250 0.860  3.19
22 Fe 0.878 0.750 0.360  3.18
23 Fe 0.378 0.750 0.140  3.19
24 Fe 0.122 0.250 0.640  3.18

Summary:
The electronic total energy is -5.15 eV per atom.


(4)
Below is a geometry-optimized NaHoFeSe3 structure, with properties calculated at the PBE level.

abc: 10.691 7.056 7.056
angles: 33.09 90.00 90.00
Last column: magnetic moment on the atom in μB.
Atoms (fractional coordinates):
1 Se 0.679 0.637 0.637  0.12
2 Se 0.000 0.080 0.080  0.13
3 Se 0.500 0.920 0.920  0.13
4 Se 0.321 0.637 0.637  0.12
5 Se 0.821 0.363 0.363  0.12
6 Se 0.179 0.363 0.363  0.12
7 Fe 0.000 0.471 0.471  3.20
8 Fe 0.500 0.529 0.529  3.22
9 Ho 0.250 0.000 0.000  0.01
10 Ho 0.750 0.000 0.000  0.01
11 Na 0.500 0.244 0.244  0.00
12 Na 0.000 0.756 0.756  0.00

Summary:
The electronic total energy is -5.23 eV per atom.